# 1
First-principles (PBE) data for a geometry-optimized ScMnAsSe2 structure, as listed in the Alexandria database.

extended XYZ file:
```
5
Lattice="5.0739 0.0000 0.0000 0.0000 5.0739 0.0000 0.0000 0.0000 5.0551" Properties=species:S:1:pos:R:3 pbc="T T T"
Sc 0.0000 0.0000 0.0000
Mn 2.5369 2.5369 2.5276
As 0.0000 0.0000 2.5276
Se 0.0000 2.5369 0.0000
Se 2.5369 0.0000 0.0000
```

Calculated values
For the energy relative to the elements, uncorrected, the calculation gives 649 meV/atom. Its space group is P4/mmm. As for the crystal system: tetragonal. Its density of states at the Fermi level is 10.1 states/eV/f.u.


# 2
First-principles (PBE) data for a geometry-optimized ScTaMnAs2 structure, as listed in the Alexandria database.

extended XYZ file:
```
5
Lattice="4.9173 0.0000 0.0000 0.0000 4.9173 0.0000 0.0000 0.0000 4.3627" Properties=species:S:1:pos:R:3 pbc="T T T"
Sc 0.0000 0.0000 0.0000
Ta 2.4587 2.4587 2.1813
Mn 0.0000 0.0000 2.1813
As 0.0000 2.4587 0.0000
As 2.4587 0.0000 0.0000
```

Calculated values
The formation energy comes out at 5.44 eV/f.u. Its space group is P4/mmm. As for the crystal system: tetragonal. Its density of states at the Fermi level is 7.3 states/eV/f.u.


# 3
First-principles (PBE) data for a geometry-optimized ScTa2MnAs structure, as listed in the Alexandria database.

extended XYZ file:
```
5
Lattice="4.6948 0.0000 0.0000 0.0000 4.6948 0.0000 0.0000 0.0000 4.4086" Properties=species:S:1:pos:R:3 pbc="T T T"
Sc 0.0000 0.0000 0.0000
Ta 0.0000 2.3474 2.2043
Ta 2.3474 0.0000 2.2043
Mn 2.3474 2.3474 2.2043
As 2.3474 2.3474 0.0000
```

Calculated values
The formation energy comes out at 2.62 eV/f.u. Its space group is P4/mmm. As for the crystal system: tetragonal. Its density of states at the Fermi level is 6.3 states/eV/f.u.


# 4
First-principles (PBE) data for a geometry-optimized Sc2TaMnAs structure, as listed in the Alexandria database.

extended XYZ file:
```
5
Lattice="4.7440 0.0000 0.0000 0.0000 4.7440 0.0000 0.0000 0.0000 4.4017" Properties=species:S:1:pos:R:3 pbc="T T T"
Sc 0.0000 2.3720 0.0000
Sc 2.3720 0.0000 0.0000
Ta 0.0000 0.0000 2.2008
Mn 2.3720 2.3720 0.0000
As 2.3720 2.3720 2.2008
```

Calculated values
The formation energy comes out at 2.42 eV/f.u. Its space group is P4/mmm. As for the crystal system: tetragonal. Its density of states at the Fermi level is 5.1 states/eV/f.u.


# 5
First-principles (PBE) data for a geometry-optimized MnAsSe structure, as listed in the Alexandria database.

extended XYZ file:
```
3
Lattice="0.0000 2.3357 7.1735 1.8072 0.0000 7.1735 1.8072 2.3357 0.0000" Properties=species:S:1:pos:R:3 pbc="T T T"
Mn 0.0000 0.0000 0.0000
As 1.8072 2.3357 8.9322
Se 1.8072 2.3357 5.4357
```

Calculated values
For the energy relative to the elements, uncorrected, the calculation gives 2 meV/atom. Its space group is Fmm2. As for the crystal system: orthorhombic. Its density of states at the Fermi level is 1.7 states/eV/f.u.


# 6
First-principles (PBE) data for a geometry-optimized MnAsSe4 structure, as listed in the Alexandria database.

extended XYZ file:
```
6
Lattice="0.0000 3.9988 3.9988 3.9988 0.0000 3.9988 3.9988 3.9988 0.0000" Properties=species:S:1:pos:R:3 pbc="T T T"
Mn 0.0000 0.0000 0.0000
As 1.9994 1.9994 1.9994
Se 5.0018 2.9957 2.9957
Se 2.9957 5.0018 2.9957
Se 2.9957 2.9957 5.0018
Se 5.0018 5.0018 5.0018
```

Calculated values
For the energy relative to the elements, uncorrected, the calculation gives 756 meV/atom. Its space group is F-43m. As for the crystal system: cubic. Its density of states at the Fermi level is 3.4 states/eV/f.u.


# 7
First-principles (PBE) data for a geometry-optimized MnAs2Se structure, as listed in the Alexandria database.

extended XYZ file:
```
8
Lattice="-2.8733 2.8733 5.9247 2.8733 -2.8733 5.9247 2.8733 2.8733 -5.9247" Properties=species:S:1:pos:R:3 pbc="T T T"
Mn 0.0000 0.0000 0.0000
Mn 0.0000 2.8733 2.9624
As 4.3099 1.1583 -1.4812
As 1.1583 1.4366 1.4812
As -1.4366 1.7149 4.4436
As 1.7149 1.4366 7.4059
Se 2.8733 0.0000 2.9624
Se 0.0000 0.0000 5.9247
```

Calculated values
For the energy relative to the elements, uncorrected, the calculation gives 252 meV/atom. Its space group is I-42d. As for the crystal system: tetragonal. Its density of states at the Fermi level is 2.1 states/eV/f.u.


# 8
First-principles (PBE) data for a geometry-optimized MnAs2Se structure, as listed in the Alexandria database.

extended XYZ file:
```
4
Lattice="4.5044 -1.4679 0.0000 4.5044 1.4679 0.0000 -1.4648 0.0000 6.4541" Properties=species:S:1:pos:R:3 pbc="T T T"
Mn 0.0000 0.0000 0.0000
As 4.7329 0.0000 2.1762
As 6.4934 0.0000 0.5263
Se 2.5718 0.0000 4.6217
```

Calculated values
For the energy relative to the elements, uncorrected, the calculation gives 3 meV/atom. Its space group is Cm. As for the crystal system: monoclinic. Its density of states at the Fermi level is 1.8 states/eV/f.u.


# 9
First-principles (PBE) data for a geometry-optimized MnAsSe structure, as listed in the Alexandria database.

extended XYZ file:
```
6
Lattice="3.0325 0.0000 0.0000 0.0000 5.2811 0.0000 0.0000 0.0000 6.0035" Properties=species:S:1:pos:R:3 pbc="T T T"
Mn 0.0000 1.2891 0.0000
Mn 1.5163 3.9920 3.0018
As 0.0000 2.3354 3.9030
As 1.5163 2.9457 0.9012
Se 0.0000 0.3573 2.2018
Se 1.5163 4.9238 5.2036
```

Calculated values
For the energy relative to the elements, uncorrected, the calculation gives -283 meV/atom. Its space group is Pmn2_1. As for the crystal system: orthorhombic. Its density of states at the Fermi level is 0.3 states/eV/f.u.


# 10
First-principles (PBE) data for a geometry-optimized MnAs2Se structure, as listed in the Alexandria database.

extended XYZ file:
```
4
Lattice="5.6518 -1.6426 0.0000 5.6518 1.6426 0.0000 -1.2823 0.0000 4.1113" Properties=species:S:1:pos:R:3 pbc="T T T"
Mn 0.0000 0.0000 0.0000
As 2.5599 0.0000 3.2607
As 7.4615 0.0000 0.8507
Se 5.0107 0.0000 2.0557
```

Calculated values
For the energy relative to the elements, uncorrected, the calculation gives 159 meV/atom. Its space group is C2/m. As for the crystal system: monoclinic. Its density of states at the Fermi level is 2.1 states/eV/f.u.


# 11
First-principles (PBE) data for a geometry-optimized MnAsSe structure, as listed in the Alexandria database.

extended XYZ file:
```
3
Lattice="3.2125 0.0000 0.0000 -1.6063 2.7821 0.0000 0.0000 0.0000 6.9714" Properties=species:S:1:pos:R:3 pbc="T T T"
Mn 0.0000 0.0000 0.0000
As 1.6063 0.9274 5.2196
Se 0.0000 1.8548 1.5650
```

Calculated values
For the energy relative to the elements, uncorrected, the calculation gives -157 meV/atom. Its space group is P3m1. As for the crystal system: trigonal. Its density of states at the Fermi level is 1.6 states/eV/f.u.


# 12
First-principles (PBE) data for a geometry-optimized MnAsSe structure, as listed in the Alexandria database.

extended XYZ file:
```
3
Lattice="0.0000 3.0674 3.0674 3.0674 0.0000 3.0674 3.0674 3.0674 0.0000" Properties=species:S:1:pos:R:3 pbc="T T T"
Mn 0.0000 0.0000 0.0000
As 4.6011 4.6011 4.6011
Se 1.5337 1.5337 1.5337
```

Calculated values
For the energy relative to the elements, uncorrected, the calculation gives -46 meV/atom. Its space group is F-43m. As for the crystal system: cubic. Its density of states at the Fermi level is 1.7 states/eV/f.u.


# 13
First-principles (PBE) data for a geometry-optimized MnAsSe structure, as listed in the Alexandria database.

extended XYZ file:
```
3
Lattice="0.0000 3.1870 3.1870 3.1870 0.0000 3.1870 3.1870 3.1870 0.0000" Properties=species:S:1:pos:R:3 pbc="T T T"
Mn 0.0000 0.0000 0.0000
As 4.7805 4.7805 4.7805
Se 3.1870 3.1870 3.1870
```

Calculated values
For the energy relative to the elements, uncorrected, the calculation gives 445 meV/atom. Its space group is F-43m. As for the crystal system: cubic. Its density of states at the Fermi level is 1.9 states/eV/f.u.


# 14
First-principles (PBE) data for a geometry-optimized MnAsSe3 structure, as listed in the Alexandria database.

extended XYZ file:
```
5
Lattice="4.6683 0.0000 0.0000 0.0000 4.6683 0.0000 0.0000 0.0000 4.6683" Properties=species:S:1:pos:R:3 pbc="T T T"
Mn 0.0000 0.0000 0.0000
As 2.3342 2.3342 2.3342
Se 0.0000 0.0000 2.3342
Se 0.0000 2.3342 0.0000
Se 2.3342 0.0000 0.0000
```

Calculated values
For the energy relative to the elements, uncorrected, the calculation gives 476 meV/atom. Its space group is Pm-3m. As for the crystal system: cubic. Its density of states at the Fermi level is 6.3 states/eV/f.u.


no.,total magnetic moment (μB/atom)
1,0.064
2,0.464
3,0.000
4,0.000
5,0.985
6,0.735
7,0.739
8,0.529
9,0.000
10,0.742
11,0.852
12,0.944
13,1.233
14,0.000